[1]
{
  "formula": "Cs2KTlO",
  "functional": "PBE-GGA",
  "state": "relaxed",
  "raw_formation_energy_mev_per_atom": -418,
  "spacegroup": "P4/mmm",
  "rho_g_cm3": 4.3,
  "m_tot_mub_per_cell": 0.4,
  "lattice": [[-2.871, -4.495, 3.019], [3.985, -4.067, -2.266], [3.234, 0.796, 4.260]],
  "species": ["Cs", "Cs", "K", "O", "Tl"],
  "frac_coords": [[0.000, 0.500, 0.000], [0.500, 0.000, 0.000], [0.000, 0.000, 0.500], [0.000, 0.000, 0.000], [0.500, 0.500, 0.500]]
}



[2]
{
  "formula": "Cs2K3UO6",
  "functional": "PBE-GGA",
  "state": "relaxed",
  "raw_formation_energy_mev_per_atom": -2006,
  "spacegroup": "C2/m",
  "rho_g_cm3": 4.5,
  "m_tot_mub_per_cell": 1.1,
  "lattice": [[7.116, -0.038, -0.037], [-3.589, 6.145, -0.037], [-1.207, -2.090, 6.117]],
  "species": ["U", "O", "O", "O", "O", "O", "O", "Cs", "Cs", "K", "K", "K"],
  "frac_coords": [[0.000, 0.000, 0.000], [0.824, 0.824, 0.191], [0.069, 0.303, 0.211], [0.931, 0.697, 0.789], [0.697, 0.931, 0.789], [0.303, 0.069, 0.211], [0.176, 0.176, 0.809], [0.331, 0.669, 0.000], [0.669, 0.331, 0.000], [0.853, 0.147, 0.500], [0.147, 0.853, 0.500], [0.500, 0.500, 0.500]]
}



[3]
{
  "formula": "CsK2U2O7",
  "functional": "PBE-GGA",
  "state": "relaxed",
  "raw_formation_energy_mev_per_atom": -2714,
  "spacegroup": "I4/mmm",
  "rho_g_cm3": 6.2,
  "m_tot_mub_per_cell": 1.0,
  "lattice": [[4.382, -0.003, 0.011], [0.003, 4.382, 0.011], [2.163, 2.160, 11.168]],
  "species": ["U", "U", "K", "K", "O", "O", "O", "O", "O", "O", "O", "Cs"],
  "frac_coords": [[0.401, 0.401, 0.198], [0.599, 0.599, 0.802], [0.191, 0.191, 0.617], [0.809, 0.809, 0.383], [0.500, 0.500, 0.000], [0.400, 0.900, 0.201], [0.600, 0.100, 0.799], [0.686, 0.686, 0.627], [0.900, 0.400, 0.201], [0.314, 0.314, 0.373], [0.100, 0.600, 0.799], [0.000, 0.000, 0.000]]
}



[4]
{
  "formula": "Cs2K2UO6",
  "functional": "PBE-GGA",
  "state": "relaxed",
  "raw_formation_energy_mev_per_atom": -1957,
  "spacegroup": "C2/m",
  "rho_g_cm3": 4.4,
  "m_tot_mub_per_cell": 2.1,
  "lattice": [[-1.535, 4.634, -4.333], [-1.868, -6.065, -1.527], [-4.564, 1.519, 5.247]],
  "species": ["U", "O", "O", "O", "O", "O", "O", "K", "K", "Cs", "Cs"],
  "frac_coords": [[0.000, 0.000, 0.500], [0.823, 0.823, 0.677], [0.953, 0.688, 0.328], [0.688, 0.953, 0.328], [0.047, 0.312, 0.672], [0.312, 0.047, 0.672], [0.177, 0.177, 0.323], [0.344, 0.656, 0.500], [0.656, 0.344, 0.500], [0.183, 0.817, 0.000], [0.817, 0.183, 0.000]]
}



[5]
{
  "formula": "CsKUO4",
  "functional": "PBE-GGA",
  "state": "relaxed",
  "raw_formation_energy_mev_per_atom": -2640,
  "spacegroup": "I4mm",
  "rho_g_cm3": 5.5,
  "m_tot_mub_per_cell": 0.0,
  "lattice": [[4.391, 0.000, 0.000], [0.000, 4.391, 0.000], [-2.196, -2.196, 7.385]],
  "species": ["K", "O", "O", "O", "O", "U", "Cs"],
  "frac_coords": [[0.363, 0.363, 0.725], [0.864, 0.864, 0.729], [0.494, 0.994, 0.988], [0.994, 0.494, 0.988], [0.128, 0.128, 0.256], [0.996, 0.996, 0.993], [0.660, 0.660, 0.320]]
}



> Which formula does entry 4 have?

Cs2K2UO6